(1)
PdCI2O | PBE | optimized geometry

Summary:
* density of states at the Fermi level: 3.1 states/eV/f.u.
* space-group type: P4/mmm (123)
* uncorrected energy: -3.49 eV per atom
* formation energy (no corrections): 1.004 eV per atom
* energy relative to the lowest polymorph listed for this composition: 0.0 meV/atom

Cell and atoms, written as POSCAR:
```
PdCI2O
1.0
5.7475 0.0000 0.0000
0.0000 5.7475 0.0000
0.0000 0.0000 3.0098
Pd C I O
1 1 2 1
Cartesian
0.0000 0.0000 0.0000 Pd
2.8738 2.8738 1.5049 C
0.0000 2.8738 1.5049 I
2.8738 0.0000 1.5049 I
2.8738 2.8738 0.0000 O
```



(2)
BiB3F | PBE | optimized geometry

Summary:
* density of states at the Fermi level: 2.9 states/eV/f.u.
* space-group type: Pm-3m (221)
* uncorrected energy: -3.44 eV per atom
* formation energy (no corrections): 1.717 eV per atom
* energy relative to the lowest polymorph listed for this composition: 0.0 meV/atom

Cell and atoms, written as POSCAR:
```
BiB3F
1.0
4.1361 0.0000 0.0000
0.0000 4.1361 0.0000
0.0000 0.0000 4.1361
Bi B F
1 3 1
Cartesian
0.0000 0.0000 0.0000 Bi
0.0000 2.0681 2.0681 B
2.0681 0.0000 2.0681 B
2.0681 2.0681 0.0000 B
2.0681 2.0681 2.0681 F
```



(3)
Ac5Pt4Au | PBE | optimized geometry

Summary:
* formation energy from the elements: -1114 meV/atom
* density of states at the Fermi level: 3.8 states/eV/f.u.
* space-group type: Immm (71)
* uncorrected energy: -5.91 eV per atom

Cell and atoms, written as POSCAR:
```
Ac5Pt4Au
1.0
-2.2020 3.1295 11.1159
2.2020 -3.1295 11.1159
2.2020 3.1295 -11.1159
Ac Pt Au
5 4 1
Cartesian
0.0000 0.0000 0.0000 Ac
0.0000 0.0000 4.4068 Ac
0.0000 0.0000 8.7255 Ac
0.0000 0.0000 13.5064 Ac
0.0000 0.0000 17.8251 Ac
2.2020 0.0000 2.1935 Pt
2.2020 0.0000 6.6169 Pt
0.0000 3.1295 4.4991 Pt
0.0000 3.1295 8.9224 Pt
0.0000 3.1295 0.0000 Au
```